(1)
The following is a DFT calculation (PBE-GGA) of a relaxed structure of ScTaB3.

Geometry as CIF:
```
data_ScTaB3
_chemical_formula_sum 'Sc1 Ta1 B3'
_cell_length_a 4.2031
_cell_length_b 4.2031
_cell_length_c 4.2031
_cell_angle_alpha 90.00
_cell_angle_beta 90.00
_cell_angle_gamma 90.00
_space_group_name_H-M_alt 'P m -3 m'
_space_group_IT_number 221
_space_group_name_Hall '-P 4 2 3'
loop_
_atom_site_label
_atom_site_type_symbol
_atom_site_fract_x
_atom_site_fract_y
_atom_site_fract_z
_atom_site_occupancy
Sc1 Sc 0.0000 0.0000 0.0000 1
Ta1 Ta 0.5000 0.5000 0.5000 1
B1 B 0.0000 0.5000 0.5000 1
```

**Offset from the most stable computed form**: 1.4678 eV per atom
**Formation energy**: 638 meV/atom

(2)
The following is a DFT calculation (PBE-GGA) of a relaxed structure of GaCuS2.

Geometry as CIF:
```
data_GaCuS2
_chemical_formula_sum 'Ga2 Cu2 S4'
_cell_length_a 3.8243
_cell_length_b 7.5727
_cell_length_c 6.5777
_cell_angle_alpha 90.00
_cell_angle_beta 125.52
_cell_angle_gamma 90.00
_space_group_name_H-M_alt 'P 1 c 1'
_space_group_IT_number 7
loop_
_space_group_symop_operation_xyz
'x,y,z'
'x,-y,z+1/2'
loop_
_atom_site_label
_atom_site_type_symbol
_atom_site_fract_x
_atom_site_fract_y
_atom_site_fract_z
_atom_site_occupancy
Ga1 Ga 0.0000 0.1394 0.0000 1
Cu1 Cu 0.0387 0.3797 0.5368 1
S1 S 0.7706 0.1291 0.2707 1
S2 S 0.7707 0.3826 0.7694 1
```

**ΔE_f (raw)**: -510 meV per atom

(3)
The following is a DFT calculation (PBE-GGA) of a relaxed structure of Ti6Ga2Si.

Geometry as CIF:
```
data_Ti6Ga2Si
_chemical_formula_sum 'Ti12 Ga4 Si2'
_cell_length_a 4.2714
_cell_length_b 6.0495
_cell_length_c 12.7965
_cell_angle_alpha 90.00
_cell_angle_beta 90.00
_cell_angle_gamma 90.00
_space_group_name_H-M_alt 'I m m m'
_space_group_IT_number 71
_space_group_name_Hall '-I 2 2'
loop_
_atom_site_label
_atom_site_type_symbol
_atom_site_fract_x
_atom_site_fract_y
_atom_site_fract_z
_atom_site_occupancy
Ti1 Ti 0.0000 0.2450 0.0000 1
Ti2 Ti 0.0000 0.2523 0.3351 1
Ga1 Ga 0.0000 0.5000 0.1664 1
Si1 Si 0.0000 0.5000 0.5000 1
```

**ΔE_f (raw)**: -90 meV per atom

(4)
The following is a DFT calculation (PBE-GGA) of a relaxed structure of BaBi2IO8.

Geometry as CIF:
```
data_BaBi2IO8
_chemical_formula_sum 'Ba2 Bi4 I2 O16'
_cell_length_a 7.8786
_cell_length_b 7.1416
_cell_length_c 7.3579
_cell_angle_alpha 90.00
_cell_angle_beta 97.32
_cell_angle_gamma 90.00
_space_group_name_H-M_alt 'C 1 2/m 1'
_space_group_IT_number 12
loop_
_space_group_symop_operation_xyz
'x,y,z'
'-x,-y,-z'
'-x,y,-z'
'x,-y,z'
'x+1/2,y+1/2,z'
'-x+1/2,-y+1/2,-z'
'-x+1/2,y+1/2,-z'
'x+1/2,-y+1/2,z'
loop_
_atom_site_label
_atom_site_type_symbol
_atom_site_fract_x
_atom_site_fract_y
_atom_site_fract_z
_atom_site_occupancy
Ba1 Ba 0.0000 0.0000 0.0000 1
Bi1 Bi 0.0308 0.5000 0.2464 1
I1 I 0.0000 0.0000 0.5000 1
O1 O 0.0138 0.1864 0.6908 1
O2 O 0.1671 0.5000 0.0096 1
O3 O 0.2429 0.0000 0.5119 1
```

**ΔE_f (raw)**: -1033 meV per atom

(5)
The following is a DFT calculation (PBE-GGA) of a relaxed structure of CoAuSCl2.

Geometry as CIF:
```
data_CoAuSCl2
_chemical_formula_sum 'Co1 Au1 S1 Cl2'
_cell_length_a 4.8627
_cell_length_b 4.8627
_cell_length_c 5.0776
_cell_angle_alpha 90.00
_cell_angle_beta 90.00
_cell_angle_gamma 90.00
_space_group_name_H-M_alt 'P 4/m m m'
_space_group_IT_number 123
_space_group_name_Hall '-P 4 2'
loop_
_atom_site_label
_atom_site_type_symbol
_atom_site_fract_x
_atom_site_fract_y
_atom_site_fract_z
_atom_site_occupancy
Co1 Co 0.0000 0.0000 0.0000 1
Au1 Au 0.5000 0.5000 0.5000 1
S1 S 0.5000 0.5000 0.0000 1
Cl1 Cl 0.0000 0.5000 0.5000 1
```

**Offset from the most stable computed form**: 0.4525 eV per atom
**ΔE_f (raw)**: 728 meV per atom

(6)
The following is a DFT calculation (PBE-GGA) of a relaxed structure of LiAcPr2Se4.

Geometry as CIF:
```
data_LiAcPr2Se4
_chemical_formula_sum 'Li4 Ac4 Pr8 Se16'
_cell_length_a 4.2182
_cell_length_b 14.0663
_cell_length_c 14.7744
_cell_angle_alpha 90.00
_cell_angle_beta 90.00
_cell_angle_gamma 90.00
_space_group_name_H-M_alt 'C m c m'
_space_group_IT_number 63
_space_group_name_Hall '-C 2c 2'
loop_
_atom_site_label
_atom_site_type_symbol
_atom_site_fract_x
_atom_site_fract_y
_atom_site_fract_z
_atom_site_occupancy
Li1 Li 0.0000 0.1478 0.2500 1
Ac1 Ac 0.0000 0.1189 0.7500 1
Pr1 Pr 0.0000 0.3654 0.5564 1
Se1 Se 0.0000 0.0000 0.0000 1
Se2 Se 0.0000 0.2749 0.1274 1
Se3 Se 0.0000 0.4529 0.7500 1
```

**ΔE_f (raw)**: -1722 meV per atom

(7)
The following is a DFT calculation (PBE-GGA) of a relaxed structure of ZnBi2PdCl.

Geometry as CIF:
```
data_ZnBi2PdCl
_chemical_formula_sum 'Zn1 Bi2 Pd1 Cl1'
_cell_length_a 5.4706
_cell_length_b 5.4706
_cell_length_c 4.7857
_cell_angle_alpha 90.00
_cell_angle_beta 90.00
_cell_angle_gamma 90.00
_space_group_name_H-M_alt 'P 4/m m m'
_space_group_IT_number 123
_space_group_name_Hall '-P 4 2'
loop_
_atom_site_label
_atom_site_type_symbol
_atom_site_fract_x
_atom_site_fract_y
_atom_site_fract_z
_atom_site_occupancy
Zn1 Zn 0.0000 0.0000 0.0000 1
Bi1 Bi 0.0000 0.5000 0.5000 1
Pd1 Pd 0.5000 0.5000 0.5000 1
Cl1 Cl 0.5000 0.5000 0.0000 1
```

**ΔE_f (raw)**: 216 meV per atom

Number 1: VASP energy -7.00 eV per atom. Number 2: VASP energy -4.35 eV per atom. Number 3: VASP energy -6.63 eV per atom. Number 4: VASP energy -5.27 eV per atom. Number 5: VASP energy -2.91 eV per atom. Number 6: VASP energy -5.41 eV per atom. Number 7: VASP energy -3.00 eV per atom.